Record 1
# Cs2GeF4

Cs2GeF4 after structural relaxation (PBE-GGA, Alexandria).

Values from the calculation:
Offset from the most stable computed form = 52 meV per atom
Formation energy without anion corrections = -237.1 kJ/mol of atoms
Total moment = 0.000 μB per formula unit
Electronic total energy = -4.430 eV/atom

Lattice parameters (Å, degrees): 4.5708 4.5708 14.9285 90.00 90.00 90.00
Space group I4/mmm (No. 139)
Asymmetric unit:
Cs (0.0000, 0.0000, 0.1472)
Ge (0.0000, 0.0000, 0.5000)
F (0.0000, 0.0000, 0.3502)
F (0.0000, 0.5000, 0.0000)

---

Record 2
# Rb3ICl4

Rb3ICl4 after structural relaxation (PBE-GGA, Alexandria).

Values from the calculation:
Formation energy without anion corrections = -139.4 kJ/mol of atoms
Total moment = 0.000 μB per formula unit
Electronic total energy = -2.925 eV/atom

Lattice parameters (Å, degrees): 14.2215 7.1666 6.7269 90.00 90.00 90.00
Space group Pmn2_1 (No. 31)
Asymmetric unit:
Rb (0.0000, 0.2104, 0.0000)
Rb (0.2489, 0.7406, 0.0048)
I (0.0000, 0.6047, 0.2845)
Cl (0.0000, 0.3502, 0.5531)
Cl (0.0000, 0.7792, 0.9522)
Cl (0.2252, 0.2375, 0.0074)